# KHgPb2 | the Alexandria database | meta-GGA SCAN | single point on PBEsol structure
# Total magnetization ... 0.00 μB per formula unit
# Formation energy from the elements ... -197 meV per atom
# Total energy ... -57.212 eV per atom
data_KHgPb2
_chemical_formula_sum 'K1 Hg1 Pb2'
_symmetry_space_group_name_H-M 'P 4 m m'
_symmetry_Int_Tables_number 99
_symmetry_space_group_name_Hall 'P 4 -2'
_cell_length_a 3.838
_cell_length_b 3.838
_cell_length_c 8.323
_cell_angle_alpha 90.00
_cell_angle_beta 90.00
_cell_angle_gamma 90.00
loop_
_atom_site_label
_atom_site_type_symbol
_atom_site_fract_x
_atom_site_fract_y
_atom_site_fract_z
K1 K 0.000 0.000 0.000
Hg1 Hg 0.500 0.500 0.746
Pb1 Pb 0.000 0.000 0.527
Pb2 Pb 0.500 0.500 0.307